Density functional theory data (PBE-GGA) for crystalline Pr6InAu at its relaxed geometry.

Structure (extended XYZ):
```
8
Lattice="9.3044 0.0024 0.0683 4.6345 7.2851 -0.2289 4.6153 2.2927 3.6954" Properties=species:S:1:pos:R:3 pbc="T T T"
In 9.2771 4.7901 1.7674
Pr 12.6639 4.5953 0.7632
Pr 11.4192 7.4087 2.9277
Au 0.0000 0.0000 0.0000
Pr 5.8903 4.9849 2.7716
Pr 7.1350 2.1714 0.6071
Pr 14.8190 8.7139 2.4706
Pr 3.7352 0.8662 1.0643
```

For the uncorrected energy, the calculation gives -36.6 eV/cell. As for the energy of formation from the pure elements: -23.6 kJ per mole of atoms. The value obtained for the calculated volume is 254 Å³/cell. Its mass density is 7.6 g/cm3. As for the density of states at the Fermi level: 1.04 states/eV per atom.